Material: SiTeP2
Method: DFT, PBE
State: relaxed

Properties
Size of the total moment, μB per formula unit: 0.0
Uncorrected energy, eV per atom: -4.123
Fermi-level density of states, states/eV per cell: 2.236

```
SiTeP2
1.0
4.742 0.000 0.000
0.000 4.742 0.000
0.000 0.000 3.258
P Te Si
2 1 1
Direct
0.500 0.500 0.000 P
0.000 0.000 0.000 P
0.000 0.500 0.500 Te
0.500 0.000 0.500 Si
```



Material: SiTeP2
Method: DFT, PBE
State: relaxed

Properties
Size of the total moment, μB per formula unit: 0.0
Uncorrected energy, eV per atom: -4.082
Fermi-level density of states, states/eV per cell: 3.015

```
SiTeP2
1.0
-1.834 -1.222 4.114
1.607 -3.763 2.246
2.497 0.505 3.911
Te P Si
1 2 1
Direct
0.750 0.750 0.750 Te
0.250 0.250 0.250 P
0.000 0.000 0.000 P
0.500 0.500 0.500 Si
```



Material: SiTe2P
Method: DFT, PBE
State: relaxed

Properties
Size of the total moment, μB per formula unit: 0.0
Uncorrected energy, eV per atom: -3.883
Fermi-level density of states, states/eV per cell: 1.427

```
SiTe2P
1.0
-2.997 2.281 -1.701
-0.265 -2.955 2.877
1.057 6.233 6.499
Si Te P
1 2 1
Direct
0.500 0.500 0.717 Si
0.000 0.000 0.921 Te
0.500 0.500 0.331 Te
0.000 0.000 0.532 P
```



Material: SiTe2P
Method: DFT, PBE
State: relaxed

Properties
Size of the total moment, μB per formula unit: 0.0
Uncorrected energy, eV per atom: -3.718
Fermi-level density of states, states/eV per cell: 1.043

```
SiTe2P
1.0
3.838 0.000 0.000
0.000 7.909 0.000
0.000 0.000 3.840
Si Te P
1 2 1
Direct
0.000 0.500 0.500 Si
0.000 0.000 0.000 Te
0.500 0.500 0.000 Te
0.500 0.000 0.500 P
```



Material: SiTe2P
Method: DFT, PBE
State: relaxed

Properties
Size of the total moment, μB per formula unit: 0.0
Uncorrected energy, eV per atom: -3.707
Fermi-level density of states, states/eV per cell: 1.837

```
SiTe2P
1.0
4.321 -0.036 0.000
-2.576 3.469 0.000
0.000 0.000 7.668
P Te Si
1 2 1
Direct
0.500 0.500 0.250 P
0.000 0.000 0.497 Te
0.000 0.000 0.003 Te
0.500 0.500 0.750 Si
```



Material: SiTe2P4
Method: DFT, PBE
State: relaxed

Properties
Size of the total moment, μB per formula unit: 0.0
Uncorrected energy, eV per atom: -4.142
Fermi-level density of states, states/eV per cell: 3.376

```
SiTe2P4
1.0
4.501 0.000 0.000
0.000 4.501 0.000
2.250 2.250 7.279
Te P Si
2 4 1
Direct
0.635 0.635 0.729 Te
0.365 0.365 0.271 Te
0.840 0.840 0.320 P
0.000 0.500 0.000 P
0.160 0.160 0.680 P
0.500 0.000 0.000 P
0.000 0.000 0.000 Si
```